No. 1
The following is a PBE calculation of a relaxed RuRhI2O crystal, from Alexandria.

Computed properties:
**Offset from the most stable computed form**: 0.000 eV/atom
**Electronic total energy**: -4.6289 eV/atom
**Symmetry**: No. 123

Unit cell a=5.4444 b=5.4444 c=3.6813 alpha=90.00 beta=90.00 gamma=90.00
Atoms (fractional coordinates):
I1 0.5000 0.0000 0.0000
O1 0.0000 0.0000 0.5000
I2 0.0000 0.5000 0.0000
Ru1 0.0000 0.0000 0.0000
Rh1 0.5000 0.5000 0.5000


No. 2
The following is a PBE calculation of a relaxed RhSIO2 crystal, from Alexandria.

Computed properties:
**Electronic total energy**: -4.5165 eV/atom
**Symmetry**: No. 123

Unit cell a=3.7927 b=3.7927 c=8.0411 alpha=90.00 beta=90.00 gamma=90.00
Atoms (fractional coordinates):
S1 0.5000 0.5000 0.5000
O1 0.5000 0.0000 0.0000
Rh1 0.0000 0.0000 0.0000
I1 0.0000 0.0000 0.5000
O2 0.0000 0.5000 0.0000


No. 3
The following is a PBE calculation of a relaxed RhSIO2 crystal, from Alexandria.

Computed properties:
**Electronic total energy**: -4.1790 eV/atom
**Symmetry**: No. 123

Unit cell a=3.6505 b=3.6505 c=6.9482 alpha=90.00 beta=90.00 gamma=90.00
Atoms (fractional coordinates):
O1 0.0000 0.5000 0.0000
Rh1 0.5000 0.5000 0.5000
I1 0.0000 0.0000 0.5000
S1 0.0000 0.0000 0.0000
O2 0.5000 0.0000 0.0000


No. 4
The following is a PBE calculation of a relaxed RhSI2O crystal, from Alexandria.

Computed properties:
**Offset from the most stable computed form**: 0.000 eV/atom
**Electronic total energy**: -3.6057 eV/atom
**Symmetry**: No. 123

Unit cell a=5.5713 b=5.5713 c=3.7219 alpha=90.00 beta=90.00 gamma=90.00
Atoms (fractional coordinates):
S1 0.5000 0.5000 0.5000
O1 0.0000 0.0000 0.5000
I1 0.0000 0.5000 0.0000
I2 0.5000 0.0000 0.0000
Rh1 0.0000 0.0000 0.0000


No. 5
The following is a PBE calculation of a relaxed RhS2IO8 crystal, from Alexandria.

Computed properties:
**Electronic total energy**: -5.5749 eV/atom
**Symmetry**: No. 12

Unit cell a=4.8387 b=4.8387 c=9.5776 alpha=72.19 beta=72.19 gamma=65.17
Atoms (fractional coordinates):
O1 0.2635 0.2635 0.9617
O2 0.2292 0.6962 0.1641
O3 0.5891 0.5891 0.3182
O4 0.4109 0.4109 0.6818
Rh1 0.0000 0.0000 0.0000
O5 0.3038 0.7708 0.8359
S1 0.5702 0.5702 0.1730
O6 0.6962 0.2292 0.1641
S2 0.4298 0.4298 0.8270
O7 0.7708 0.3038 0.8359
I1 0.0000 0.0000 0.5000
O8 0.7365 0.7365 0.0383


No. 6
The following is a PBE calculation of a relaxed RhSI2O crystal, from Alexandria.

Computed properties:
**Offset from the most stable computed form**: 0.278 eV/atom
**Electronic total energy**: -3.3278 eV/atom
**Symmetry**: No. 123

Unit cell a=5.4753 b=5.4753 c=3.5037 alpha=90.00 beta=90.00 gamma=90.00
Atoms (fractional coordinates):
I1 0.5000 0.0000 0.0000
I2 0.0000 0.5000 0.0000
S1 0.0000 0.0000 0.0000
Rh1 0.5000 0.5000 0.5000
O1 0.0000 0.0000 0.5000


No. 7
The following is a PBE calculation of a relaxed SbRhIO2 crystal, from Alexandria.

Computed properties:
**Offset from the most stable computed form**: 0.375 eV/atom
**Electronic total energy**: -4.3402 eV/atom
**Symmetry**: No. 123

Unit cell a=4.1829 b=5.2519 c=4.1829 alpha=90.00 beta=90.00 gamma=90.00
Atoms (fractional coordinates):
Rh1 0.0000 0.0000 0.0000
O1 0.5000 0.0000 0.0000
Sb1 0.5000 0.5000 0.5000
O2 0.0000 0.0000 0.5000
I1 0.0000 0.5000 0.0000


No. 8
The following is a PBE calculation of a relaxed SbRhIO2 crystal, from Alexandria.

Computed properties:
**Offset from the most stable computed form**: 0.000 eV/atom
**Electronic total energy**: -4.7152 eV/atom
**Symmetry**: No. 123

Unit cell a=3.9591 b=3.9591 c=6.5529 alpha=90.00 beta=90.00 gamma=90.00
Atoms (fractional coordinates):
Rh1 0.5000 0.5000 0.5000
O1 0.5000 0.0000 0.0000
Sb1 0.0000 0.0000 0.0000
I1 0.0000 0.0000 0.5000
O2 0.0000 0.5000 0.0000


No. 9
The following is a PBE calculation of a relaxed ScRhIO2 crystal, from Alexandria.

Computed properties:
**Offset from the most stable computed form**: 0.579 eV/atom
**Electronic total energy**: -5.3434 eV/atom
**Symmetry**: No. 123

Unit cell a=4.0889 b=4.0889 c=5.2144 alpha=90.00 beta=90.00 gamma=90.00
Atoms (fractional coordinates):
I1 0.0000 0.0000 0.5000
Sc1 0.5000 0.5000 0.5000
O1 0.5000 0.0000 0.0000
O2 0.0000 0.5000 0.0000
Rh1 0.0000 0.0000 0.0000


No. 10
The following is a PBE calculation of a relaxed ScRhIO6 crystal, from Alexandria.

Computed properties:
**Electronic total energy**: -6.1044 eV/atom
**Symmetry**: No. 163

Unit cell a=5.3426 b=5.3426 c=8.6942 alpha=90.00 beta=90.00 gamma=120.00
Atoms (fractional coordinates):
O1 0.6722 0.0040 0.3750
O2 0.9960 0.6682 0.3750
O3 0.0040 0.3318 0.6250
O4 0.6682 0.9960 0.8750
O5 0.3278 0.3318 0.8750
O6 0.0040 0.6722 0.8750
O7 0.6682 0.6722 0.6250
Rh1 0.0000 0.0000 0.0000
Sc1 0.6667 0.3333 0.7500
Sc2 0.3333 0.6667 0.2500
Rh2 0.0000 0.0000 0.5000
O8 0.9960 0.3278 0.1250
O9 0.3318 0.0040 0.1250
O10 0.6722 0.6682 0.1250
I1 0.3333 0.6667 0.7500
I2 0.6667 0.3333 0.2500
O11 0.3318 0.3278 0.3750
O12 0.3278 0.9960 0.6250


No. 11
The following is a PBE calculation of a relaxed ScRhIO2 crystal, from Alexandria.

Computed properties:
**Offset from the most stable computed form**: 0.000 eV/atom
**Electronic total energy**: -5.9222 eV/atom
**Symmetry**: No. 123

Unit cell a=3.9806 b=3.9806 c=6.3688 alpha=90.00 beta=90.00 gamma=90.00
Atoms (fractional coordinates):
Sc1 0.0000 0.0000 0.0000
I1 0.0000 0.0000 0.5000
O1 0.0000 0.5000 0.0000
Rh1 0.5000 0.5000 0.5000
O2 0.5000 0.0000 0.0000


No. 12
The following is a PBE calculation of a relaxed SnRhI2O crystal, from Alexandria.

Computed properties:
**Offset from the most stable computed form**: 0.000 eV/atom
**Electronic total energy**: -4.0464 eV/atom
**Symmetry**: No. 123

Unit cell a=5.7644 b=5.7644 c=3.7914 alpha=90.00 beta=90.00 gamma=90.00
Atoms (fractional coordinates):
O1 0.0000 0.0000 0.5000
I1 0.5000 0.0000 0.0000
I2 0.0000 0.5000 0.0000
Sn1 0.5000 0.5000 0.5000
Rh1 0.0000 0.0000 0.0000


No. 13
The following is a PBE calculation of a relaxed SnRhI2O crystal, from Alexandria.

Computed properties:
**Offset from the most stable computed form**: 0.440 eV/atom
**Electronic total energy**: -3.6066 eV/atom
**Symmetry**: No. 123

Unit cell a=5.9628 b=5.9628 c=3.9686 alpha=90.00 beta=90.00 gamma=90.00
Atoms (fractional coordinates):
I1 0.0000 0.5000 0.0000
Rh1 0.5000 0.5000 0.5000
I2 0.5000 0.0000 0.0000
O1 0.0000 0.0000 0.5000
Sn1 0.0000 0.0000 0.0000


No. 14
The following is a PBE calculation of a relaxed Sr2RhIO6 crystal, from Alexandria.

Computed properties:
**Electronic total energy**: -5.5750 eV/atom
**Symmetry**: No. 166

Unit cell a=5.7649 b=5.7649 c=10.7785 alpha=74.49 beta=74.49 gamma=60.00
Atoms (fractional coordinates):
O1 0.6140 0.6140 0.6408
O2 0.3860 0.3860 0.3592
O3 0.7246 0.2007 0.8739
O4 0.8688 0.3860 0.3592
O5 0.2007 0.2007 0.8739
I1 0.0000 0.0000 0.0000
O6 0.7993 0.7993 0.1261
Rh1 0.4108 0.4108 0.7676
Rh2 0.5892 0.5892 0.2324
Sr1 0.7201 0.7201 0.8397
O7 0.3860 0.8688 0.3592
O8 0.6140 0.1312 0.6408
Sr2 0.1124 0.1124 0.6627
O9 0.2754 0.7993 0.1261
O10 0.2007 0.7246 0.8739
O11 0.7993 0.2754 0.1261
Sr3 0.2799 0.2799 0.1603
Sr4 0.8876 0.8876 0.3373
O12 0.1312 0.6140 0.6408
I2 0.5000 0.5000 0.5000


No. 15
The following is a PBE calculation of a relaxed SrRhIO6 crystal, from Alexandria.

Computed properties:
**Electronic total energy**: -5.6445 eV/atom
**Symmetry**: No. 149

Unit cell a=5.2863 b=5.2864 c=5.4184 alpha=90.00 beta=90.00 gamma=60.00
Atoms (fractional coordinates):
I1 0.3333 0.3334 0.5000
Sr1 0.0000 0.0000 0.0000
O1 0.0132 0.6234 0.7011
O2 0.0132 0.3634 0.2989
Rh1 0.6666 0.6667 0.5000
O3 0.6234 0.0132 0.2989
O4 0.3633 0.6234 0.2989
O5 0.3633 0.0132 0.7011
O6 0.6234 0.3634 0.7011


No. 16
The following is a PBE calculation of a relaxed SrRhI2O crystal, from Alexandria.

Computed properties:
**Offset from the most stable computed form**: 0.000 eV/atom
**Electronic total energy**: -4.2110 eV/atom
**Symmetry**: No. 123

Unit cell a=5.7472 b=5.7472 c=3.9252 alpha=90.00 beta=90.00 gamma=90.00
Atoms (fractional coordinates):
I1 0.0000 0.5000 0.0000
Sr1 0.5000 0.5000 0.5000
O1 0.0000 0.0000 0.5000
I2 0.5000 0.0000 0.0000
Rh1 0.0000 0.0000 0.0000


No. 17
The following is a PBE calculation of a relaxed SrRhI2O crystal, from Alexandria.

Computed properties:
**Offset from the most stable computed form**: 0.824 eV/atom
**Electronic total energy**: -3.3871 eV/atom
**Symmetry**: No. 123

Unit cell a=6.3516 b=6.3516 c=4.2324 alpha=90.00 beta=90.00 gamma=90.00
Atoms (fractional coordinates):
Sr1 0.0000 0.0000 0.0000
Rh1 0.5000 0.5000 0.5000
I1 0.0000 0.5000 0.0000
O1 0.0000 0.0000 0.5000
I2 0.5000 0.0000 0.0000


No. 18
The following is a PBE calculation of a relaxed TaRhI2O crystal, from Alexandria.

Computed properties:
**Offset from the most stable computed form**: 0.000 eV/atom
**Electronic total energy**: -5.5057 eV/atom
**Symmetry**: No. 123

Unit cell a=5.5350 b=5.5350 c=3.8341 alpha=90.00 beta=90.00 gamma=90.00
Atoms (fractional coordinates):
I1 0.5000 0.0000 0.0000
Ta1 0.0000 0.0000 0.0000
O1 0.0000 0.0000 0.5000
I2 0.0000 0.5000 0.0000
Rh1 0.5000 0.5000 0.5000


No. 19
The following is a PBE calculation of a relaxed TaRhI2O crystal, from Alexandria.

Computed properties:
**Offset from the most stable computed form**: 0.629 eV/atom
**Electronic total energy**: -4.8766 eV/atom
**Symmetry**: No. 123

Unit cell a=5.5892 b=5.5892 c=3.6719 alpha=90.00 beta=90.00 gamma=90.00
Atoms (fractional coordinates):
I1 0.5000 0.0000 0.0000
Rh1 0.0000 0.0000 0.0000
Ta1 0.5000 0.5000 0.5000
O1 0.0000 0.0000 0.5000
I2 0.0000 0.5000 0.0000


No. 20
The following is a PBE calculation of a relaxed Te2RhIO crystal, from Alexandria.

Computed properties:
**Offset from the most stable computed form**: 0.257 eV/atom
**Electronic total energy**: -3.1982 eV/atom
**Symmetry**: No. 123

Unit cell a=5.1250 b=5.1250 c=5.4467 alpha=90.00 beta=90.00 gamma=90.00
Atoms (fractional coordinates):
Rh1 0.0000 0.0000 0.0000
O1 0.5000 0.5000 0.5000
Te1 0.0000 0.5000 0.0000
Te2 0.5000 0.0000 0.0000
I1 0.0000 0.0000 0.5000


No. 21
The following is a PBE calculation of a relaxed TeRhI2O crystal, from Alexandria.

Computed properties:
**Offset from the most stable computed form**: 0.438 eV/atom
**Electronic total energy**: -3.2204 eV/atom
**Symmetry**: No. 123

Unit cell a=6.0340 b=6.0340 c=4.0078 alpha=90.00 beta=90.00 gamma=90.00
Atoms (fractional coordinates):
Te1 0.0000 0.0000 0.0000
Rh1 0.5000 0.5000 0.5000
O1 0.0000 0.0000 0.5000
I1 0.0000 0.5000 0.0000
I2 0.5000 0.0000 0.0000


No. 22
The following is a PBE calculation of a relaxed Te2RhIO crystal, from Alexandria.

Computed properties:
**Offset from the most stable computed form**: 0.000 eV/atom
**Electronic total energy**: -3.4555 eV/atom
**Symmetry**: No. 123

Unit cell a=4.3899 b=4.3899 c=6.5735 alpha=90.00 beta=90.00 gamma=90.00
Atoms (fractional coordinates):
I1 0.0000 0.0000 0.5000
Te1 0.0000 0.5000 0.0000
Te2 0.5000 0.0000 0.0000
O1 0.0000 0.0000 0.0000
Rh1 0.5000 0.5000 0.5000


No. 23
The following is a PBE calculation of a relaxed TeRhI2O crystal, from Alexandria.

Computed properties:
**Offset from the most stable computed form**: 0.000 eV/atom
**Electronic total energy**: -3.6585 eV/atom
**Symmetry**: No. 123

Unit cell a=5.7581 b=5.7581 c=3.7462 alpha=90.00 beta=90.00 gamma=90.00
Atoms (fractional coordinates):
I1 0.5000 0.0000 0.0000
Te1 0.5000 0.5000 0.5000
Rh1 0.0000 0.0000 0.0000
O1 0.0000 0.0000 0.5000
I2 0.0000 0.5000 0.0000


No. 24
The following is a PBE calculation of a relaxed TeRhI2O crystal, from Alexandria.

Computed properties:
**Offset from the most stable computed form**: 0.779 eV/atom
**Electronic total energy**: -2.8795 eV/atom
**Symmetry**: No. 123

Unit cell a=5.4295 b=5.4295 c=5.0391 alpha=90.00 beta=90.00 gamma=90.00
Atoms (fractional coordinates):
I1 0.0000 0.5000 0.0000
Rh1 0.0000 0.0000 0.0000
I2 0.5000 0.0000 0.0000
O1 0.5000 0.5000 0.5000
Te1 0.0000 0.0000 0.5000


No. 25
The following is a PBE calculation of a relaxed TeRhI2O crystal, from Alexandria.

Computed properties:
**Offset from the most stable computed form**: 0.734 eV/atom
**Electronic total energy**: -2.9241 eV/atom
**Symmetry**: No. 123

Unit cell a=5.1722 b=5.1722 c=4.4885 alpha=90.00 beta=90.00 gamma=90.00
Atoms (fractional coordinates):
Te1 0.0000 0.0000 0.5000
I1 0.0000 0.5000 0.0000
I2 0.5000 0.0000 0.0000
O1 0.0000 0.0000 0.0000
Rh1 0.5000 0.5000 0.5000


No. 26
The following is a PBE calculation of a relaxed TiRhIO2 crystal, from Alexandria.

Computed properties:
**Offset from the most stable computed form**: 1.147 eV/atom
**Electronic total energy**: -5.2560 eV/atom
**Symmetry**: No. 123

Unit cell a=3.8570 b=3.8570 c=6.2712 alpha=90.00 beta=90.00 gamma=90.00
Atoms (fractional coordinates):
O1 0.5000 0.0000 0.0000
Ti1 0.5000 0.5000 0.5000
Rh1 0.0000 0.0000 0.0000
O2 0.0000 0.5000 0.0000
I1 0.0000 0.0000 0.5000